Rb2BeNbCo: relaxed, PBE.

Results
Its formation energy is 1576 meV/atom. The symmetry is No. 123.

Unit cell a=6.6816 b=4.4685 c=6.6816 alpha=90.00 beta=90.00 gamma=90.00
Closest atoms and distances in Å follow each position.
Element x y z (fractional)
Be 0.5000 0.5000 0.5000  8 Rb 4.02, 2 Be 4.47
Nb 0.0000 0.5000 0.0000  2 Co 2.23
Co 0.0000 0.0000 0.0000  2 Nb 2.23
Rb 0.0000 0.0000 0.5000  2 Co 3.34
Rb 0.5000 0.0000 0.0000  2 Co 3.34

---

Be2Nb2Co5Re: relaxed, PBE.

Results
Its formation energy is -143 meV/atom. The symmetry is No. 127.

Unit cell a=3.0662 b=8.8012 c=8.8012 alpha=90.00 beta=90.00 gamma=90.00
Closest atoms and distances in Å follow each position.
Element x y z (fractional)
Be 0.0000 0.1166 0.6166  6 Co 2.11-2.18
Be 0.0000 0.8834 0.3834  6 Co 2.11-2.18
Be 0.0000 0.6166 0.8834  6 Co 2.11-2.18
Be 0.0000 0.3834 0.1166  6 Co 2.11-2.18
Nb 0.0000 0.6769 0.1769  3 Be 2.57-2.64, 10 Co 2.68-2.80
Nb 0.0000 0.3231 0.8231  3 Be 2.57-2.64, 10 Co 2.68-2.80
Nb 0.0000 0.1769 0.3231  3 Be 2.57-2.64, 10 Co 2.68-2.80
Nb 0.0000 0.8231 0.6769  3 Be 2.57-2.64, 10 Co 2.68-2.80
Co 0.5000 0.2139 0.0662  2 Be 2.18
Co 0.5000 0.7861 0.9338  2 Be 2.18
Co 0.5000 0.0662 0.7861  2 Be 2.18
Co 0.5000 0.7139 0.4338  2 Be 2.18
Co 0.5000 0.9338 0.2139  2 Be 2.18
Co 0.5000 0.2861 0.5662  2 Be 2.18
Co 0.5000 0.5662 0.7139  2 Be 2.18
Co 0.5000 0.4338 0.2861  2 Be 2.18
Co 0.5000 0.5000 0.0000  4 Be 2.11
Co 0.5000 0.0000 0.5000  4 Be 2.11
Re 0.0000 0.0000 0.0000  8 Co 2.50
Re 0.0000 0.5000 0.5000  8 Co 2.50

---

Be3Nb3CoRh2: relaxed, PBE.

Results
Its formation energy is -222 meV/atom. The symmetry is No. 189.

Unit cell a=4.0075 b=5.9396 c=5.9396 alpha=120.00 beta=90.00 gamma=90.00
Closest atoms and distances in Å follow each position.
Element x y z (fractional)
Be 0.5000 0.7838 0.0000  2 Be 2.22, 2 Co 2.38, 2 Rh 2.40
Be 0.5000 0.2162 0.2162  2 Be 2.22, 2 Co 2.38, 2 Rh 2.40
Be 0.5000 0.0000 0.7838  2 Be 2.22, 2 Co 2.38, 2 Rh 2.40
Nb 0.0000 0.0000 0.3973  1 Co 2.36
Nb 0.0000 0.6027 0.6027  1 Co 2.36
Nb 0.0000 0.3973 0.0000  1 Co 2.36
Co 0.0000 0.0000 0.0000  3 Nb 2.36, 6 Be 2.38
Rh 0.5000 0.3333 0.6667  3 Be 2.40
Rh 0.5000 0.6667 0.3333  3 Be 2.40

---

Be2Nb2CoRu5: relaxed, PBE.

Results
Its formation energy is -200 meV/atom. The symmetry is No. 127.

Unit cell a=3.0923 b=9.2555 c=9.2555 alpha=90.00 beta=90.00 gamma=90.00
Closest atoms and distances in Å follow each position.
Element x y z (fractional)
Be 0.0000 0.1231 0.6231  6 Ru 2.23-2.27
Be 0.0000 0.8769 0.3769  6 Ru 2.23-2.27
Be 0.0000 0.6231 0.8769  6 Ru 2.23-2.27
Be 0.0000 0.3769 0.1231  6 Ru 2.23-2.27
Nb 0.0000 0.6755 0.1755  3 Be 2.64-2.81, 6 Ru 2.77-2.79
Nb 0.0000 0.3245 0.8245  3 Be 2.64-2.81, 6 Ru 2.77-2.79
Nb 0.0000 0.1755 0.3245  3 Be 2.64-2.81, 6 Ru 2.77-2.79
Nb 0.0000 0.8245 0.6755  3 Be 2.64-2.81, 6 Ru 2.77-2.79
Co 0.0000 0.0000 0.0000  8 Ru 2.54
Co 0.0000 0.5000 0.5000  8 Ru 2.54
Ru 0.5000 0.2045 0.0753  2 Be 2.27
Ru 0.5000 0.7955 0.9247  2 Be 2.27
Ru 0.5000 0.0753 0.7955  2 Be 2.27
Ru 0.5000 0.7045 0.4247  2 Be 2.27
Ru 0.5000 0.9247 0.2045  2 Be 2.27
Ru 0.5000 0.2955 0.5753  2 Be 2.27
Ru 0.5000 0.5753 0.7045  2 Be 2.27
Ru 0.5000 0.4247 0.2955  2 Be 2.27
Ru 0.5000 0.5000 0.0000  4 Be 2.23
Ru 0.5000 0.0000 0.5000  4 Be 2.23

---

Sc2Be2NbCo5: relaxed, PBE.

Results
Its formation energy is -352 meV/atom. The symmetry is No. 127.

Unit cell a=3.1111 b=8.9368 c=8.9368 alpha=90.00 beta=90.00 gamma=90.00
Closest atoms and distances in Å follow each position.
Element x y z (fractional)
Sc 0.0000 0.6747 0.1747  3 Be 2.61-2.67, 10 Co 2.70-2.85
Sc 0.0000 0.3253 0.8253  3 Be 2.61-2.67, 10 Co 2.70-2.85
Sc 0.0000 0.1747 0.3253  3 Be 2.61-2.67, 10 Co 2.70-2.85
Sc 0.0000 0.8253 0.6747  3 Be 2.61-2.67, 10 Co 2.70-2.85
Be 0.0000 0.1191 0.6191  6 Co 2.16-2.19
Be 0.0000 0.8809 0.3809  6 Co 2.16-2.19
Be 0.0000 0.6191 0.8809  6 Co 2.16-2.19
Be 0.0000 0.3809 0.1191  6 Co 2.16-2.19
Nb 0.0000 0.0000 0.0000  8 Co 2.55
Nb 0.0000 0.5000 0.5000  8 Co 2.55
Co 0.5000 0.2154 0.0686  2 Be 2.19
Co 0.5000 0.7846 0.9314  2 Be 2.19
Co 0.5000 0.0686 0.7846  2 Be 2.19
Co 0.5000 0.7154 0.4314  2 Be 2.19
Co 0.5000 0.9314 0.2154  2 Be 2.19
Co 0.5000 0.2846 0.5686  2 Be 2.19
Co 0.5000 0.5686 0.7154  2 Be 2.19
Co 0.5000 0.4314 0.2846  2 Be 2.19
Co 0.5000 0.5000 0.0000  4 Be 2.16
Co 0.5000 0.0000 0.5000  4 Be 2.16

---

BeNbCo4Si2: relaxed, PBE.

Results
The symmetry is No. 166. The raw formation energy is -0.46 eV per atom.

Unit cell a=3.8262 b=3.8262 c=7.4506 alpha=75.12 beta=75.12 gamma=60.00
Closest atoms and distances in Å follow each position.
Element x y z (fractional)
Be 0.5000 0.5000 0.5000  8 Co 2.18-2.33
Nb 0.0000 0.0000 0.0000  8 Co 2.60-2.80
Co 0.3978 0.3978 0.8066  1 Be 2.18, 3 Si 2.28
Co 0.8687 0.8687 0.3939  3 Be 2.33, 4 Si 2.38-2.39
Co 0.1313 0.1313 0.6061  3 Be 2.33, 4 Si 2.38-2.39
Co 0.6022 0.6022 0.1934  1 Be 2.18, 3 Si 2.28
Si 0.7568 0.7568 0.7296  7 Co 2.28-2.39
Si 0.2432 0.2432 0.2705  7 Co 2.28-2.39

---

Ta2Be2NbCo5: relaxed, PBE.

Results
Its formation energy is -291 meV/atom. The symmetry is No. 127.

Unit cell a=3.2631 b=8.5642 c=8.5642 alpha=90.00 beta=90.00 gamma=90.00
Closest atoms and distances in Å follow each position.
Element x y z (fractional)
Ta 0.0000 0.6754 0.1754  3 Be 2.51-2.56, 6 Co 2.68-2.75
Ta 0.0000 0.3246 0.8246  3 Be 2.51-2.56, 6 Co 2.68-2.75
Ta 0.0000 0.1754 0.3246  3 Be 2.51-2.56, 6 Co 2.68-2.75
Ta 0.0000 0.8246 0.6754  3 Be 2.51-2.56, 6 Co 2.68-2.75
Be 0.0000 0.1177 0.6177  6 Co 2.17-2.20
Be 0.0000 0.8823 0.3823  6 Co 2.17-2.20
Be 0.0000 0.6177 0.8823  6 Co 2.17-2.20
Be 0.0000 0.3823 0.1177  6 Co 2.17-2.20
Nb 0.0000 0.0000 0.0000  8 Co 2.54
Nb 0.0000 0.5000 0.5000  8 Co 2.54
Co 0.5000 0.2162 0.0701  2 Be 2.20
Co 0.5000 0.7838 0.9299  2 Be 2.20
Co 0.5000 0.0701 0.7838  2 Be 2.20
Co 0.5000 0.7162 0.4299  2 Be 2.20
Co 0.5000 0.9299 0.2162  2 Be 2.20
Co 0.5000 0.2838 0.5701  2 Be 2.20
Co 0.5000 0.5701 0.7162  2 Be 2.20
Co 0.5000 0.4299 0.2838  2 Be 2.20
Co 0.5000 0.5000 0.0000  4 Be 2.17
Co 0.5000 0.0000 0.5000  4 Be 2.17

---

TaBe2Nb2Co5: relaxed, PBE.

Results
Its formation energy is -272 meV/atom. The symmetry is No. 127.

Unit cell a=3.2659 b=8.5828 c=8.5828 alpha=90.00 beta=90.00 gamma=90.00
Closest atoms and distances in Å follow each position.
Element x y z (fractional)
Ta 0.0000 0.0000 0.0000  8 Co 2.54
Ta 0.0000 0.5000 0.5000  8 Co 2.54
Be 0.0000 0.1180 0.6180  6 Co 2.17-2.21
Be 0.0000 0.8820 0.3820  6 Co 2.17-2.21
Be 0.0000 0.6180 0.8820  6 Co 2.17-2.21
Be 0.0000 0.3820 0.1180  6 Co 2.17-2.21
Nb 0.0000 0.6752 0.1752  3 Be 2.51-2.56, 6 Co 2.68-2.75
Nb 0.0000 0.3248 0.8248  3 Be 2.51-2.56, 6 Co 2.68-2.75
Nb 0.0000 0.1752 0.3248  3 Be 2.51-2.56, 6 Co 2.68-2.75
Nb 0.0000 0.8248 0.6752  3 Be 2.51-2.56, 6 Co 2.68-2.75
Co 0.5000 0.2158 0.0697  2 Be 2.21
Co 0.5000 0.7842 0.9303  2 Be 2.21
Co 0.5000 0.0697 0.7842  2 Be 2.21
Co 0.5000 0.7158 0.4303  2 Be 2.21
Co 0.5000 0.9303 0.2158  2 Be 2.21
Co 0.5000 0.2842 0.5697  2 Be 2.21
Co 0.5000 0.5697 0.7158  2 Be 2.21
Co 0.5000 0.4303 0.2842  2 Be 2.21
Co 0.5000 0.5000 0.0000  4 Be 2.17
Co 0.5000 0.0000 0.5000  4 Be 2.17

---

Be2NbCoTc: relaxed, PBE.

Results
Its formation energy is 1922 meV/atom. The symmetry is No. 123.

Unit cell a=4.3783 b=4.5493 c=4.3783 alpha=90.00 beta=90.00 gamma=90.00
Closest atoms and distances in Å follow each position.
Element x y z (fractional)
Be 0.0000 0.0000 0.5000  2 Nb 2.19
Be 0.5000 0.0000 0.0000  2 Nb 2.19
Nb 0.0000 0.0000 0.0000  4 Be 2.19, 2 Tc 2.27
Co 0.5000 0.5000 0.5000  4 Tc 3.10, 8 Be 3.16
Tc 0.0000 0.5000 0.0000  2 Nb 2.27

---

BeNb2CoTc: relaxed, PBE.

Results
Its formation energy is 1072 meV/atom. The symmetry is No. 123.

Unit cell a=4.5393 b=4.3844 c=4.5393 alpha=90.00 beta=90.00 gamma=90.00
Closest atoms and distances in Å follow each position.
Element x y z (fractional)
Be 0.5000 0.5000 0.5000  8 Nb 3.16, 4 Tc 3.21
Nb 0.0000 0.0000 0.5000  2 Co 2.27
Nb 0.5000 0.0000 0.0000  2 Co 2.27
Co 0.0000 0.0000 0.0000  2 Tc 2.19, 4 Nb 2.27
Tc 0.0000 0.5000 0.0000  2 Co 2.19

---

Be2Nb2Co5Tc: relaxed, PBE.

Results
Its formation energy is -158 meV/atom. The symmetry is No. 127.

Unit cell a=3.3693 b=8.3291 c=8.3291 alpha=90.00 beta=90.00 gamma=90.00
Closest atoms and distances in Å follow each position.
Element x y z (fractional)
Be 0.0000 0.1143 0.6143  6 Co 2.16-2.26
Be 0.0000 0.8857 0.3857  6 Co 2.16-2.26
Be 0.0000 0.6143 0.8857  6 Co 2.16-2.26
Be 0.0000 0.3857 0.1143  6 Co 2.16-2.26
Nb 0.0000 0.6795 0.1795  3 Be 2.43-2.51, 6 Co 2.70-2.71
Nb 0.0000 0.3205 0.8205  3 Be 2.43-2.51, 6 Co 2.70-2.71
Nb 0.0000 0.1795 0.3205  3 Be 2.43-2.51, 6 Co 2.70-2.71
Nb 0.0000 0.8205 0.6795  3 Be 2.43-2.51, 6 Co 2.70-2.71
Co 0.5000 0.2114 0.0681  2 Be 2.26, 1 Co 2.47, 2 Tc 2.50
Co 0.5000 0.7886 0.9319  2 Be 2.26, 1 Co 2.47, 2 Tc 2.50
Co 0.5000 0.0681 0.7886  2 Be 2.26, 1 Co 2.47, 2 Tc 2.50
Co 0.5000 0.7114 0.4319  2 Be 2.26, 1 Co 2.47, 2 Tc 2.50
Co 0.5000 0.9319 0.2114  2 Be 2.26, 1 Co 2.47, 2 Tc 2.50
Co 0.5000 0.2886 0.5681  2 Be 2.26, 1 Co 2.47, 2 Tc 2.50
Co 0.5000 0.5681 0.7114  2 Be 2.26, 1 Co 2.47, 2 Tc 2.50
Co 0.5000 0.4319 0.2886  2 Be 2.26, 1 Co 2.47, 2 Tc 2.50
Co 0.5000 0.5000 0.0000  4 Be 2.16
Co 0.5000 0.0000 0.5000  4 Be 2.16
Tc 0.0000 0.0000 0.0000  8 Co 2.50
Tc 0.0000 0.5000 0.5000  8 Co 2.50

---

Ti2BeNbCo: relaxed, PBE.

Results
Its formation energy is 321 meV/atom. The symmetry is No. 123.

Unit cell a=4.4506 b=3.7395 c=4.4506 alpha=90.00 beta=90.00 gamma=90.00
Closest atoms and distances in Å follow each position.
Element x y z (fractional)
Be 0.0000 0.0000 0.0000  2 Co 1.87
Nb 0.5000 0.5000 0.5000  8 Ti 2.91, 4 Co 3.15
Co 0.0000 0.5000 0.0000  2 Be 1.87
Ti 0.0000 0.0000 0.5000  2 Be 2.23
Ti 0.5000 0.0000 0.0000  2 Be 2.23

---

TiBe2Nb2Co5: relaxed, PBE.

Results
Its formation energy is -314 meV/atom. The symmetry is No. 127.

Unit cell a=3.1520 b=8.6342 c=8.6342 alpha=90.00 beta=90.00 gamma=90.00
Closest atoms and distances in Å follow each position.
Element x y z (fractional)
Ti 0.0000 0.0000 0.0000  8 Co 2.50
Ti 0.0000 0.5000 0.5000  8 Co 2.50
Be 0.0000 0.1199 0.6199  6 Co 2.15-2.18
Be 0.0000 0.8801 0.3801  6 Co 2.15-2.18
Be 0.0000 0.6199 0.8801  6 Co 2.15-2.18
Be 0.0000 0.3801 0.1199  6 Co 2.15-2.18
Nb 0.0000 0.6755 0.1755  3 Be 2.50-2.59, 10 Co 2.66-2.80
Nb 0.0000 0.3245 0.8245  3 Be 2.50-2.59, 10 Co 2.66-2.80
Nb 0.0000 0.1755 0.3245  3 Be 2.50-2.59, 10 Co 2.66-2.80
Nb 0.0000 0.8245 0.6755  3 Be 2.50-2.59, 10 Co 2.66-2.80
Co 0.5000 0.2141 0.0682  2 Be 2.18
Co 0.5000 0.7859 0.9318  2 Be 2.18
Co 0.5000 0.0682 0.7859  2 Be 2.18
Co 0.5000 0.7141 0.4318  2 Be 2.18
Co 0.5000 0.9318 0.2141  2 Be 2.18
Co 0.5000 0.2859 0.5682  2 Be 2.18
Co 0.5000 0.5682 0.7141  2 Be 2.18
Co 0.5000 0.4318 0.2859  2 Be 2.18
Co 0.5000 0.5000 0.0000  4 Be 2.15
Co 0.5000 0.0000 0.5000  4 Be 2.15

---

Be2Nb2VCo5: relaxed, PBE.

Results
Its formation energy is -246 meV/atom. The symmetry is No. 127.

Unit cell a=3.1677 b=8.5285 c=8.5285 alpha=90.00 beta=90.00 gamma=90.00
Closest atoms and distances in Å follow each position.
Element x y z (fractional)
Be 0.0000 0.1198 0.6198  6 Co 2.14-2.20
Be 0.0000 0.8802 0.3802  6 Co 2.14-2.20
Be 0.0000 0.6198 0.8802  6 Co 2.14-2.20
Be 0.0000 0.3802 0.1198  6 Co 2.14-2.20
Nb 0.0000 0.6758 0.1758  3 Be 2.47-2.57, 6 Co 2.65-2.73
Nb 0.0000 0.3242 0.8242  3 Be 2.47-2.57, 6 Co 2.65-2.73
Nb 0.0000 0.1758 0.3242  3 Be 2.47-2.57, 6 Co 2.65-2.73
Nb 0.0000 0.8242 0.6758  3 Be 2.47-2.57, 6 Co 2.65-2.73
V 0.0000 0.0000 0.0000  8 Co 2.45
V 0.0000 0.5000 0.5000  8 Co 2.45
Co 0.5000 0.2093 0.0662  2 Be 2.20, 2 V 2.45
Co 0.5000 0.7907 0.9338  2 Be 2.20, 2 V 2.45
Co 0.5000 0.0662 0.7907  2 Be 2.20, 2 V 2.45
Co 0.5000 0.7093 0.4338  2 Be 2.20, 2 V 2.45
Co 0.5000 0.9338 0.2093  2 Be 2.20, 2 V 2.45
Co 0.5000 0.2907 0.5662  2 Be 2.20, 2 V 2.45
Co 0.5000 0.5662 0.7093  2 Be 2.20, 2 V 2.45
Co 0.5000 0.4338 0.2907  2 Be 2.20, 2 V 2.45
Co 0.5000 0.5000 0.0000  4 Be 2.14
Co 0.5000 0.0000 0.5000  4 Be 2.14

---

BeNbCoW2: relaxed, PBE.

Results
Its formation energy is 512 meV/atom. The symmetry is No. 123.

Unit cell a=4.3845 b=3.7343 c=4.3845 alpha=90.00 beta=90.00 gamma=90.00
Closest atoms and distances in Å follow each position.
Element x y z (fractional)
Be 0.0000 0.0000 0.0000  2 Co 1.87
Nb 0.5000 0.5000 0.5000  8 W 2.88, 4 Co 3.10
Co 0.0000 0.5000 0.0000  2 Be 1.87
W 0.0000 0.0000 0.5000  2 Be 2.19
W 0.5000 0.0000 0.0000  2 Be 2.19

---

Be2Nb2ZnCo5: relaxed, PBE.

Results
Its formation energy is -221 meV/atom. The symmetry is No. 127.

Unit cell a=3.1474 b=8.5588 c=8.5588 alpha=90.00 beta=90.00 gamma=90.00
Closest atoms and distances in Å follow each position.
Element x y z (fractional)
Be 0.0000 0.1178 0.6178  6 Co 2.12-2.17
Be 0.0000 0.8822 0.3822  6 Co 2.12-2.17
Be 0.0000 0.6178 0.8822  6 Co 2.12-2.17
Be 0.0000 0.3822 0.1178  6 Co 2.12-2.17
Nb 0.0000 0.6781 0.1781  3 Be 2.47-2.58, 6 Co 2.67-2.69
Nb 0.0000 0.3219 0.8219  3 Be 2.47-2.58, 6 Co 2.67-2.69
Nb 0.0000 0.1781 0.3219  3 Be 2.47-2.58, 6 Co 2.67-2.69
Nb 0.0000 0.8219 0.6781  3 Be 2.47-2.58, 6 Co 2.67-2.69
Zn 0.0000 0.0000 0.0000  8 Co 2.49
Zn 0.0000 0.5000 0.5000  8 Co 2.49
Co 0.5000 0.2147 0.0699  2 Be 2.17
Co 0.5000 0.7853 0.9301  2 Be 2.17
Co 0.5000 0.0699 0.7853  2 Be 2.17
Co 0.5000 0.7147 0.4301  2 Be 2.17
Co 0.5000 0.9301 0.2147  2 Be 2.17
Co 0.5000 0.2853 0.5699  2 Be 2.17
Co 0.5000 0.5699 0.7147  2 Be 2.17
Co 0.5000 0.4301 0.2853  2 Be 2.17
Co 0.5000 0.5000 0.0000  4 Be 2.12
Co 0.5000 0.0000 0.5000  4 Be 2.12

---

NdBe2Co: relaxed, PBE.

Results
Its formation energy is -112 meV/atom. The symmetry is No. 166.

Unit cell a=3.7648 b=3.7648 c=5.4561 alpha=69.82 beta=69.82 gamma=60.00
Closest atoms and distances in Å follow each position.
Element x y z (fractional)
Co 0.5000 0.5000 0.5000  6 Be 2.20
Nd 0.0000 0.0000 0.0000  8 Be 2.86-3.05
Be 0.8095 0.8095 0.5715  3 Co 2.20, 3 Be 2.29
Be 0.1905 0.1905 0.4285  3 Co 2.20, 3 Be 2.29

---

NdBeCo: relaxed, PBE.

Results
The value obtained for the distance to the lowest polymorph of the same formula is 27.8 meV/atom. Its formation energy is -21 meV/atom. The symmetry is No. 63.

Unit cell a=3.8020 b=5.4706 c=5.0700 alpha=90.00 beta=90.00 gamma=110.33
Closest atoms and distances in Å follow each position.
Element x y z (fractional)
Co 0.5603 0.1207 0.7500  4 Be 2.37
Co 0.4397 0.8793 0.2500  4 Be 2.37
Be 0.0000 0.0000 0.5000  4 Co 2.37, 2 Be 2.54
Be 0.0000 0.0000 0.0000  4 Co 2.37, 2 Be 2.54
Nd 0.7011 0.4022 0.2500  3 Co 2.68-2.92
Nd 0.2989 0.5978 0.7500  3 Co 2.68-2.92

---

NdBeCo: relaxed, PBE.

Results
The value obtained for the distance to the lowest polymorph of the same formula is 0.0 meV/atom. Its formation energy is -49 meV/atom. The symmetry is No. 187.

Unit cell a=4.0669 b=3.8622 c=3.8622 alpha=120.00 beta=90.00 gamma=90.00
Closest atoms and distances in Å follow each position.
Element x y z (fractional)
Co 0.1668 0.6667 0.3333  3 Be 2.23
Nd 0.6666 0.3333 0.6667  6 Co 3.02, 6 Be 3.02
Be 0.1666 0.0000 0.0000  3 Co 2.23

---

NdBe3Co: relaxed, PBE.

Results
Its formation energy is -61 meV/atom. The symmetry is No. 221.

Unit cell a=4.1514 b=4.1514 c=4.1514 alpha=90.00 beta=90.00 gamma=90.00
Closest atoms and distances in Å follow each position.
Element x y z (fractional)
Co 0.0000 0.0000 0.0000  6 Be 2.08
Nd 0.5000 0.5000 0.5000  12 Be 2.94
Be 0.0000 0.5000 0.0000  2 Co 2.08
Be 0.0000 0.0000 0.5000  2 Co 2.08
Be 0.5000 0.0000 0.0000  2 Co 2.08